# Li2Mn3Se4O12 (GGA+U, optimized geometry)
data_Li2Mn3Se4O12
_space_group_name_H-M_alt 'P -1'
_space_group_IT_number 2
_space_group_name_Hall '-P 1'
_cell_length_a 7.681
_cell_length_b 8.560
_cell_length_c 10.834
_cell_angle_alpha 74.16
_cell_angle_beta 87.96
_cell_angle_gamma 63.91
loop_
_atom_site_label
_atom_site_type_symbol
_atom_site_fract_x
_atom_site_fract_y
_atom_site_fract_z
_atom_site_occupancy
Li1 Li 0.148 0.456 0.416 1
Li2 Li 0.254 0.458 0.930 1
Mn1 Mn 0.443 0.714 0.783 1
Mn2 Mn 0.450 0.369 0.675 1
Mn3 Mn 0.500 0.000 0.000 1
Mn4 Mn 0.500 0.000 0.500 1
Se1 Se 0.174 0.259 0.204 1
Se2 Se 0.181 0.181 0.728 1
Se3 Se 0.213 0.786 0.483 1
Se4 Se 0.225 0.756 0.066 1
O1 O 0.005 0.477 0.154 1
O2 O 0.145 0.369 0.603 1
O3 O 0.245 0.700 0.923 1
O4 O 0.250 0.951 0.025 1
O5 O 0.275 0.618 0.408 1
O6 O 0.295 0.658 0.642 1
O7 O 0.299 0.005 0.658 1
O8 O 0.306 0.262 0.335 1
O9 O 0.354 0.252 0.095 1
O10 O 0.371 0.181 0.812 1
O11 O 0.401 0.840 0.429 1
O12 O 0.455 0.593 0.152 1
# Magnetization (μB per cell): 30.000
# Raw total energy (eV/cell): -255.658

# Li3Mn2Se4O12 (GGA+U, optimized geometry)
data_Li3Mn2Se4O12
_space_group_name_H-M_alt 'P -1'
_space_group_IT_number 2
_space_group_name_Hall '-P 1'
_cell_length_a 7.767
_cell_length_b 8.318
_cell_length_c 10.483
_cell_angle_alpha 74.38
_cell_angle_beta 88.39
_cell_angle_gamma 64.86
loop_
_atom_site_label
_atom_site_type_symbol
_atom_site_fract_x
_atom_site_fract_y
_atom_site_fract_z
_atom_site_occupancy
Li1 Li 0.015 0.143 0.312 1
Li2 Li 0.243 0.048 0.086 1
Li3 Li 0.345 0.031 0.582 1
Mn1 Mn 0.000 0.500 0.000 1
Mn2 Mn 0.000 0.500 0.500 1
Mn3 Mn 0.044 0.796 0.221 1
Se1 Se 0.269 0.739 0.941 1
Se2 Se 0.275 0.707 0.513 1
Se3 Se 0.305 0.326 0.270 1
Se4 Se 0.328 0.239 0.798 1
O1 O 0.051 0.905 0.861 1
O2 O 0.081 0.654 0.568 1
O3 O 0.119 0.320 0.180 1
O4 O 0.146 0.248 0.907 1
O5 O 0.179 0.499 0.352 1
O6 O 0.181 0.864 0.360 1
O7 O 0.199 0.234 0.662 1
O8 O 0.232 0.538 0.979 1
O9 O 0.248 0.840 0.617 1
O10 O 0.268 0.781 0.093 1
O11 O 0.366 0.130 0.393 1
O12 O 0.489 0.016 0.851 1
# Magnetization (μB per cell): 18.000
# Raw total energy (eV/cell): -244.544

# Li5Mn5Se8O24 (GGA+U, optimized geometry)
data_Li5Mn5Se8O24
_space_group_name_H-M_alt 'P 1'
_space_group_IT_number 1
_space_group_name_Hall 'P 1'
_cell_length_a 7.679
_cell_length_b 8.508
_cell_length_c 10.651
_cell_angle_alpha 73.74
_cell_angle_beta 88.50
_cell_angle_gamma 64.16
loop_
_atom_site_label
_atom_site_type_symbol
_atom_site_fract_x
_atom_site_fract_y
_atom_site_fract_z
_atom_site_occupancy
Li1 Li 0.000 0.000 0.000 1
Li2 Li 0.098 0.006 0.515 1
Li3 Li 0.392 0.171 0.905 1
Li4 Li 0.591 0.092 0.666 1
Li5 Li 0.695 0.088 0.164 1
Mn1 Mn 0.289 0.261 0.364 1
Mn2 Mn 0.297 0.918 0.250 1
Mn3 Mn 0.349 0.541 0.082 1
Mn4 Mn 0.352 0.542 0.587 1
Mn5 Mn 0.405 0.833 0.809 1
Se1 Se 0.024 0.803 0.786 1
Se2 Se 0.034 0.722 0.321 1
Se3 Se 0.069 0.326 0.057 1
Se4 Se 0.086 0.302 0.650 1
Se5 Se 0.613 0.788 0.521 1
Se6 Se 0.641 0.751 0.103 1
Se7 Se 0.666 0.365 0.850 1
Se8 Se 0.675 0.282 0.380 1
O1 O 0.003 0.914 0.197 1
O2 O 0.082 0.257 0.503 1
O3 O 0.120 0.501 0.604 1
O4 O 0.141 0.144 0.996 1
O5 O 0.143 0.206 0.224 1
O6 O 0.145 0.553 0.246 1
O7 O 0.155 0.805 0.921 1
O8 O 0.208 0.791 0.679 1
O9 O 0.235 0.715 0.408 1
O10 O 0.252 0.386 0.006 1
O11 O 0.308 0.135 0.732 1
O12 O 0.387 0.954 0.436 1
O13 O 0.447 0.702 0.155 1
O14 O 0.474 0.364 0.761 1
O15 O 0.495 0.291 0.490 1
O16 O 0.540 0.280 0.248 1
O17 O 0.547 0.538 0.923 1
O18 O 0.559 0.889 0.944 1
O19 O 0.582 0.588 0.564 1
O20 O 0.592 0.905 0.191 1
O21 O 0.609 0.837 0.666 1
O22 O 0.714 0.174 0.976 1
O23 O 0.842 0.062 0.432 1
O24 O 0.862 0.025 0.731 1
# Magnetization (μB per cell): 24.000
# Raw total energy (eV/cell): -250.186

# LiMnSe2O8 (GGA+U, optimized geometry)
data_LiMnSe2O8
_space_group_name_H-M_alt 'I -4 m 2'
_space_group_IT_number 119
_space_group_name_Hall 'I -4 -2'
_cell_length_a 7.011
_cell_length_b 7.011
_cell_length_c 6.113
_cell_angle_alpha 90.00
_cell_angle_beta 90.00
_cell_angle_gamma 90.00
loop_
_atom_site_label
_atom_site_type_symbol
_atom_site_fract_x
_atom_site_fract_y
_atom_site_fract_z
_atom_site_occupancy
Li1 Li 0.000 0.000 0.000 1
Mn1 Mn 0.000 0.500 0.750 1
Se1 Se 0.000 0.000 0.500 1
Se2 Se 0.000 0.500 0.250 1
O1 O 0.000 0.184 0.674 1
O2 O 0.000 0.318 0.071 1
# Magnetization (μB per cell): 7.947
# Raw total energy (eV/cell): -133.021